Below is a geometry-optimized KIrPb2 structure, with properties calculated at the GGA-PBE level.

## Properties
space group: No. 160
formation energy from the elements: 0.071 eV per atom

Cell lengths 4.5629, 4.5629, 7.2651 Å; angles 71.70, 71.70, 59.97 degrees
With the nearest neighbours (Å) after each atom.
Positions (direct):
Pb 0.0332 0.0332 0.9007  3 Ir 2.85
K 0.2464 0.2464 0.2601  6 Pb 3.49-3.59, 1 Ir 3.51
Pb 0.8007 0.8007 0.5980  3 Ir 2.81
Ir 0.4197 0.4197 0.7411  6 Pb 2.81-2.85